Entry 1:
The following is a DFT calculation (PBE) of an optimized crystal structure of CaHfCl3.

- theoretical density (Mg/m³) = 4.26
- energy relative to the elements, uncorrected (eV per atom) = -0.935
- excess energy over the best structure of this formula in the dataset (eV/atom) = 0.000
- uncorrected energy (eV/atom) = -4.4336
- SG = Pm-3m, No. 221

Cell: 5.022 5.022 5.022 Å, 90.00 90.00 90.00°
Positions (direct):
1 Ca 0.000 0.000 0.000
2 Hf 0.500 0.500 0.500
3 Cl 0.000 0.500 0.500
4 Cl 0.500 0.000 0.500
5 Cl 0.500 0.500 0.000



Entry 2:
The following is a DFT calculation (PBE) of an optimized crystal structure of AgRh.

- theoretical density (Mg/m³) = 11.00
- ΔH_f (0 K) (kJ per mole of atoms) = 15
- uncorrected energy (eV/atom) = -4.9489
- SG = P-3m1, No. 164

Cell: 2.801 2.801 9.369 Å, 90.00 90.00 120.00°
Positions (direct):
1 Ag 0.333 0.667 0.367
2 Ag 0.667 0.333 0.633
3 Rh 0.333 0.667 0.889
4 Rh 0.667 0.333 0.111



Entry 3:
The following is a DFT calculation (PBE) of an optimized crystal structure of HoReSi2Os.

- theoretical density (Mg/m³) = 11.71
- energy relative to the elements, uncorrected (eV per atom) = -0.570
- uncorrected energy (eV/atom) = -8.3902
- SG = I-4m2, No. 119

Cell: 4.136 4.136 9.910 Å, 90.00 90.00 90.00°
Positions (direct):
1 Ho 0.000 0.000 0.000
2 Ho 0.500 0.500 0.500
3 Re 0.000 0.500 0.750
4 Re 0.500 0.000 0.250
5 Si 0.000 0.000 0.377
6 Si 0.000 0.000 0.623
7 Si 0.500 0.500 0.123
8 Si 0.500 0.500 0.877
9 Os 0.000 0.500 0.250
10 Os 0.500 0.000 0.750



Entry 4:
The following is a DFT calculation (PBE) of an optimized crystal structure of CdWSe2.

- theoretical density (Mg/m³) = 8.28
- energy relative to the elements, uncorrected (eV per atom) = -0.078
- uncorrected energy (eV/atom) = -5.2871
- SG = P4/mmm, No. 123

Cell: 3.099 3.099 9.481 Å, 90.00 90.00 90.00°
Positions (direct):
1 Cd 0.000 0.000 0.000
2 W 0.000 0.000 0.500
3 Se 0.500 0.500 0.336
4 Se 0.500 0.500 0.664



Entry 5:
The following is a DFT calculation (PBE) of an optimized crystal structure of Cs2AcPaSe4.

- theoretical density (Mg/m³) = 5.95
- energy relative to the elements, uncorrected (eV per atom) = -1.507
- uncorrected energy (eV/atom) = -5.1635
- SG = P2/m, No. 10

Cell: 7.747 4.427 8.833 Å, 90.00 106.71 90.00°
Positions (direct):
1 Cs 0.000 0.000 0.000
2 Cs 0.500 0.500 0.000
3 Ac 0.000 0.500 0.500
4 Pa 0.500 0.000 0.500
5 Se 0.251 0.000 0.696
6 Se 0.287 0.500 0.310
7 Se 0.713 0.500 0.690
8 Se 0.749 0.000 0.304



Entry 6:
The following is a DFT calculation (PBE) of an optimized crystal structure of In3B2Pt9.

- theoretical density (Mg/m³) = 15.89
- ΔH_f (0 K) (kJ per mole of atoms) = -35
- uncorrected energy (eV/atom) = -5.7840
- SG = P6_3/mmc, No. 194

Cell: 5.732 5.732 15.587 Å, 90.00 90.00 120.00°
Positions (direct):
1 In 0.000 0.000 0.250
2 In 0.000 0.000 0.750
3 In 0.333 0.667 0.083
4 In 0.333 0.667 0.417
5 In 0.667 0.333 0.583
6 In 0.667 0.333 0.917
7 B 0.333 0.667 0.659
8 B 0.333 0.667 0.841
9 B 0.667 0.333 0.159
10 B 0.667 0.333 0.341
11 Pt 0.005 0.503 0.250
12 Pt 0.164 0.329 0.578
13 Pt 0.164 0.329 0.922
14 Pt 0.164 0.836 0.578
15 Pt 0.164 0.836 0.922
16 Pt 0.329 0.164 0.078
17 Pt 0.329 0.164 0.422
18 Pt 0.497 0.503 0.250
19 Pt 0.497 0.995 0.250
20 Pt 0.503 0.005 0.750
21 Pt 0.503 0.497 0.750
22 Pt 0.671 0.836 0.578
23 Pt 0.671 0.836 0.922
24 Pt 0.836 0.164 0.078
25 Pt 0.836 0.164 0.422
26 Pt 0.836 0.671 0.078
27 Pt 0.836 0.671 0.422
28 Pt 0.995 0.497 0.750